# LaTa2Os PBE optimized geometry
data_LaTa2Os
_space_group_name_H-M_alt 'P 4/m m m'
_space_group_IT_number 123
_space_group_name_Hall '-P 4 2'
_cell_length_a 4.0271
_cell_length_b 4.0271
_cell_length_c 5.0266
_cell_angle_alpha 90.00
_cell_angle_beta 90.00
_cell_angle_gamma 90.00
loop_
_atom_site_label
_atom_site_fract_x
_atom_site_fract_y
_atom_site_fract_z
La1 0.0000 0.0000 0.0000
Ta1 0.0000 0.5000 0.5000
Os1 0.5000 0.5000 0.0000
# - calculated volume (Å³/cell) = 81.52
# - formation energy (eV/atom) = 0.59
# - raw total energy (eV per atom) = -9.371
# - size of the total moment (μB/atom) = 0.000
# - distance to the lowest polymorph of the same formula (meV/atom) = 505.5

***

# CsRh2I2 PBE optimized geometry
data_CsRh2I2
_space_group_name_H-M_alt 'I 4/m m m'
_space_group_IT_number 139
_space_group_name_Hall '-I 4 2'
_cell_length_a 5.2071
_cell_length_b 5.2071
_cell_length_c 12.2545
_cell_angle_alpha 90.00
_cell_angle_beta 90.00
_cell_angle_gamma 90.00
loop_
_atom_site_label
_atom_site_fract_x
_atom_site_fract_y
_atom_site_fract_z
Cs1 0.0000 0.0000 0.0000
Rh1 0.0000 0.0000 0.3047
I1 0.0000 0.5000 0.2500
# - calculated volume (Å³/cell) = 332.27
# - raw total energy (eV per atom) = -3.690
# - size of the total moment (μB/atom) = 0.000
# - distance to the lowest polymorph of the same formula (meV/atom) = 0.0

***

# CaHo2Ru PBE optimized geometry
data_CaHo2Ru
_space_group_name_H-M_alt 'P 4/m m m'
_space_group_IT_number 123
_space_group_name_Hall '-P 4 2'
_cell_length_a 3.4340
_cell_length_b 3.4340
_cell_length_c 9.4494
_cell_angle_alpha 90.00
_cell_angle_beta 90.00
_cell_angle_gamma 90.00
loop_
_atom_site_label
_atom_site_fract_x
_atom_site_fract_y
_atom_site_fract_z
Ca1 0.0000 0.0000 0.0000
Ho1 0.5000 0.5000 0.3277
Ru1 0.0000 0.0000 0.5000
# - calculated volume (Å³/cell) = 111.43
# - formation energy (eV/atom) = -0.24
# - raw total energy (eV per atom) = -5.350
# - size of the total moment (μB/atom) = 0.000
# - distance to the lowest polymorph of the same formula (meV/atom) = 0.0

***

# Ca4InPb2 PBE optimized geometry
data_Ca4InPb2
_space_group_name_H-M_alt 'R -3 m'
_space_group_IT_number 166
_space_group_name_Hall '-R 3 2"'
_cell_length_a 5.4669
_cell_length_b 5.4669
_cell_length_c 26.5886
_cell_angle_alpha 90.00
_cell_angle_beta 90.00
_cell_angle_gamma 120.00
loop_
_atom_site_label
_atom_site_fract_x
_atom_site_fract_y
_atom_site_fract_z
Ca1 0.0000 0.0000 0.1223
Ca2 0.0000 0.0000 0.3737
In1 0.0000 0.0000 0.5000
Pb1 0.0000 0.0000 0.2501
# - calculated volume (Å³/cell) = 688.20
# - formation energy (eV/atom) = -0.47
# - raw total energy (eV per atom) = -3.060
# - size of the total moment (μB/atom) = 0.000

***

# NaSr2In PBE optimized geometry
data_NaSr2In
_space_group_name_H-M_alt 'P 4/m m m'
_space_group_IT_number 123
_space_group_name_Hall '-P 4 2'
_cell_length_a 5.9854
_cell_length_b 5.9854
_cell_length_c 4.1448
_cell_angle_alpha 90.00
_cell_angle_beta 90.00
_cell_angle_gamma 90.00
loop_
_atom_site_label
_atom_site_fract_x
_atom_site_fract_y
_atom_site_fract_z
Na1 0.0000 0.0000 0.0000
Sr1 0.0000 0.5000 0.5000
In1 0.5000 0.5000 0.0000
# - calculated volume (Å³/cell) = 148.49
# - formation energy (eV/atom) = -0.20
# - raw total energy (eV per atom) = -2.051
# - size of the total moment (μB/atom) = 0.000

***

# Li2Zn7 PBE optimized geometry
data_Li2Zn7
_space_group_name_H-M_alt 'R -3 m'
_space_group_IT_number 166
_space_group_name_Hall '-R 3 2"'
_cell_length_a 5.1237
_cell_length_b 5.1237
_cell_length_c 38.5914
_cell_angle_alpha 90.00
_cell_angle_beta 90.00
_cell_angle_gamma 120.00
loop_
_atom_site_label
_atom_site_fract_x
_atom_site_fract_y
_atom_site_fract_z
Li1 0.0000 0.0000 0.0590
Li2 0.0000 0.0000 0.1534
Zn1 0.0000 0.0000 0.2772
Zn2 0.0000 0.0000 0.3895
Zn3 0.0000 0.0000 0.5000
Zn4 0.0000 0.5000 0.0000
Zn5 0.0041 0.5021 0.8869
# - calculated volume (Å³/cell) = 877.39
# - formation energy (eV/atom) = -0.11
# - raw total energy (eV per atom) = -1.526
# - size of the total moment (μB/atom) = 0.000